No. 1
LaCrBr, relaxed, DFT GGA-PBE; total moment = 1.35 μB/atom; E above lowest polymorph = 22.6 kJ per mole of atoms; raw total energy = -5.286 eV per atom; volume = 87.5 Å³/cell; raw formation energy = 2.8 kcal/mol of atoms; DOS at the Fermi energy = 2.2 states/eV/cell; space group = F-43m
1.0
-4.263 -2.183 1.377
0.034 -3.544 3.503
-1.933 0.925 4.499
La Br Cr
1 1 1
Direct
0.500 0.500 0.500
0.750 0.750 0.750
0.000 0.000 0.000

=====

No. 2
LaCrBr, relaxed, DFT GGA-PBE; total moment = 1.34 μB/atom; E above lowest polymorph = 0.8 kJ per mole of atoms; raw total energy = -5.512 eV per atom; volume = 81.8 Å³/cell; raw formation energy = -2.4 kcal/mol of atoms; DOS at the Fermi energy = 1.9 states/eV/cell; space group = I4mm
1.0
6.588 0.113 0.000
4.457 4.854 0.000
-5.523 -2.483 2.599
Br La Cr
1 1 1
Direct
0.999 0.999 0.000
0.671 0.671 0.000
0.330 0.330 0.000

=====

No. 3
LaCr3Br, relaxed, DFT GGA-PBE; total moment = 1.75 μB/atom; raw total energy = -6.140 eV per atom; volume = 107.5 Å³/cell; raw formation energy = 22.0 kcal/mol of atoms; DOS at the Fermi energy = 7.7 states/eV/cell; space group = Pm-3m
1.0
-1.339 -4.557 0.227
4.557 -1.323 0.313
-0.237 0.306 4.739
Cr La Br
3 1 1
Direct
0.000 0.500 0.000
0.500 0.000 0.000
0.000 0.000 0.500
0.500 0.500 0.500
0.000 0.000 0.000

=====

No. 4
LaCrBr, relaxed, DFT GGA-PBE; total moment = 1.33 μB/atom; E above lowest polymorph = 0.8 kJ per mole of atoms; raw total energy = -5.512 eV per atom; volume = 91.8 Å³/cell; raw formation energy = -2.4 kcal/mol of atoms; DOS at the Fermi energy = 0.9 states/eV/cell; space group = P3m1
1.0
3.903 0.000 0.000
-1.951 3.380 0.000
0.000 0.000 6.960
La Br Cr
1 1 1
Direct
0.333 0.667 0.669
0.000 0.000 0.983
0.667 0.333 0.348

=====

No. 5
LaCr2Br2, relaxed, DFT GGA-PBE; total moment = 0.00 μB/atom; E above lowest polymorph = 16.8 kJ per mole of atoms; raw total energy = -5.342 eV per atom; volume = 231.1 Å³/cell; raw formation energy = 3.7 kcal/mol of atoms; DOS at the Fermi energy = 7.8 states/eV/cell; space group = P4/mbm
1.0
7.103 0.000 0.000
0.000 7.103 0.000
0.000 0.000 4.581
Br Cr La
4 4 2
Direct
0.319 0.819 0.500
0.681 0.181 0.500
0.181 0.319 0.500
0.819 0.681 0.500
0.091 0.409 0.000
0.591 0.091 0.000
0.909 0.591 0.000
0.409 0.909 0.000
0.500 0.500 0.000
0.000 0.000 0.000

=====

No. 6
Rb2LaCrBr6, relaxed, DFT GGA-PBE; total moment = 0.50 μB/atom; raw total energy = -4.117 eV per atom; volume = 372.6 Å³/cell; raw formation energy = -33.8 kcal/mol of atoms; DOS at the Fermi energy = 0.0 states/eV/cell; space group = I4/mmm
1.0
-6.635 4.282 -1.720
-2.537 -5.901 -4.905
-7.307 -3.271 1.056
Br La Rb Cr
6 1 2 1
Direct
0.743 0.743 0.515
0.257 0.257 0.000
0.257 0.257 0.485
0.257 0.743 0.000
0.743 0.257 0.000
0.743 0.743 0.000
0.000 0.000 0.000
0.750 0.250 0.500
0.250 0.750 0.500
0.500 0.500 0.000